Entry from OQMD via LeMat-Bulk: a geometry-optimized ZnCoGeO4 structure (PBE with a Hubbard U).

Unit cell a=5.9065 b=5.9065 c=8.2682 alpha=90.00 beta=90.00 gamma=90.00
Positions (direct):
Zn 0.0000 0.2505 0.0000
Zn 0.0000 0.7495 0.5000
Zn 0.2505 0.0000 0.7500
Zn 0.7495 0.0000 0.2500
Co 0.2505 0.5000 0.7500
Co 0.5000 0.2505 0.0000
Co 0.5000 0.7495 0.5000
Co 0.7495 0.5000 0.2500
Ge 0.2498 0.2498 0.3750
Ge 0.2498 0.7502 0.1250
Ge 0.7502 0.2498 0.6250
Ge 0.7502 0.7502 0.8750
O 0.0007 0.2509 0.2524
O 0.0007 0.7491 0.2476
O 0.2509 0.0007 0.4976
O 0.2508 0.4968 0.5005
O 0.2508 0.5032 0.9995
O 0.2509 0.9993 0.0024
O 0.4968 0.2508 0.2495
O 0.4968 0.7492 0.2505
O 0.5032 0.2508 0.7505
O 0.5032 0.7492 0.7495
O 0.7491 0.0007 0.5024
O 0.7492 0.4968 0.4995
O 0.7492 0.5032 0.0005
O 0.7491 0.9993 0.9976
O 0.9993 0.2509 0.7476
O 0.9993 0.7491 0.7524

Properties
Offset from the most stable computed form ... 0.400 eV/f.u.
Space group ... P4_122
Calculated density ... 6.01 g/cm³
E ... -0.42662 Ry per atom
Magnetization ... 3.0 μB/f.u.